[1]
First-principles (PBE-GGA) data for a geometry-optimized ScHgI3 structure, as listed in the Alexandria database.

## Properties
The final energy comes out at -0.2269 Ry/atom. The uncorrected formation energy is -0.831 eV/atom. The calculation puts the mass density at 4.027 g cm⁻³. The total magnetic moment is 0.00 Bohr magnetons per cell. The calculation puts the density of states at the Fermi level at 0.000 states/eV/cell.

Lattice parameters (Å, degrees): 5.6320 12.9232 7.0952 90.00 90.23 90.00
With the nearest neighbours (Å) after each atom.
Space group P2_1/m (No. 11)
Inequivalent atoms, fractional coordinates:
Sc  0.2427  0.2500  0.0565 (multiplicity 2)  4 I 2.71-2.90, 1 Hg 2.94
Hg  0.2414  0.2500  0.6427 (multiplicity 2)  1 Sc 2.94
I  0.2438  0.0829  0.2861 (multiplicity 4)  1 Sc 2.71
I  0.2578  0.7500  0.0407 (multiplicity 2)  2 Sc 2.90

***

[2]
First-principles (PBE-GGA) data for a geometry-optimized Pr2AlZnPt6 structure, as listed in the Alexandria database.

## Properties
The final energy comes out at -0.4317 Ry/atom. The calculation puts the mass density at 11.774 g cm⁻³. The total magnetic moment is 0.00 Bohr magnetons per cell. The calculation puts the density of states at the Fermi level at 7.823 states/eV/cell. The formation energy is -791 meV/atom.

Lattice parameters (Å, degrees): 5.7014 5.7014 23.2154 90.00 90.00 120.00
With the nearest neighbours (Å) after each atom.
Space group R-3m (No. 166, hexagonal axes)
Inequivalent atoms, fractional coordinates:
Pr  0.0000  0.0000  0.2055 (multiplicity 6)  9 Pt 3.01-3.23
Al  0.0000  0.0000  0.5000 (multiplicity 3)  6 Pt 2.50
Zn  0.0000  0.0000  0.0000 (multiplicity 3)  6 Pt 2.58
Pt  0.9999  0.4999  0.2477 (multiplicity 18)  1 Al 2.50, 1 Zn 2.58

***

[3]
First-principles (PBE-GGA) data for a geometry-optimized Th2Zn3Ga2 structure, as listed in the Alexandria database.

## Properties
The final energy comes out at -0.2716 Ry/atom. The calculation puts the mass density at 8.228 g cm⁻³. The total magnetic moment is 0.00 Bohr magnetons per cell. The calculation puts the density of states at the Fermi level at 5.384 states/eV/cell. The formation energy is -164 meV/atom.

Lattice parameters (Å, degrees): 4.0204 19.9666 4.0215 90.00 90.00 90.00
With the nearest neighbours (Å) after each atom.
Space group Cmmm (No. 65)
Inequivalent atoms, fractional coordinates:
Th  0.0000  0.1595  0.0000 (multiplicity 4)  6 Ga 3.04-3.24, 1 Zn 3.19
Zn  0.0000  0.0000  0.0000 (multiplicity 2)  8 Zn 3.13, 2 Th 3.19
Zn  0.0000  0.4344  0.5000 (multiplicity 4)  1 Zn 2.62
Ga  0.0000  0.2869  0.5000 (multiplicity 4)  2 Ga 2.49

***

[4]
First-principles (PBE-GGA) data for a geometry-optimized AcTc4O12 structure, as listed in the Alexandria database.

## Properties
The final energy comes out at -0.5769 Ry/atom. The uncorrected formation energy is -1.669 eV/atom. The calculation puts the mass density at 5.840 g cm⁻³. The total magnetic moment is 0.00 Bohr magnetons per cell. The calculation puts the density of states at the Fermi level at 23.122 states/eV/cell.

Lattice parameters (Å, degrees): 7.7259 7.7259 7.7259 90.00 90.00 90.00
With the nearest neighbours (Å) after each atom.
Space group Im-3 (No. 204)
Inequivalent atoms, fractional coordinates:
Ac  0.0000  0.0000  0.0000 (multiplicity 2)  12 O 2.69
Tc  0.2500  0.2500  0.2500 (multiplicity 8)  6 O 1.93
O  0.0000  0.2454  0.2468 (multiplicity 24)  2 Tc 1.93

***

[5]
First-principles (PBE-GGA) data for a geometry-optimized CdAg2Bi structure, as listed in the Alexandria database.

## Properties
The final energy comes out at -0.1866 Ry/atom. The calculation puts the mass density at 9.665 g cm⁻³. The total magnetic moment is 0.00 Bohr magnetons per cell. The calculation puts the density of states at the Fermi level at 4.486 states/eV/cell. The formation energy is 86 meV/atom.

Lattice parameters (Å, degrees): 4.7709 4.7709 14.0456 90.00 90.00 120.00
With the nearest neighbours (Å) after each atom.
Space group R-3m (No. 166, hexagonal axes)
Inequivalent atoms, fractional coordinates:
Cd  0.0000  0.0000  0.0000 (multiplicity 3)  6 Ag 2.87
Ag  0.0000  0.0000  0.2749 (multiplicity 6)  3 Cd 2.87, 4 Bi 3.15-3.16, 3 Ag 3.21
Bi  0.0000  0.0000  0.5000 (multiplicity 3)  8 Ag 3.15-3.16

***

[6]
First-principles (PBE-GGA) data for a geometry-optimized RbAg2SbI6 structure, as listed in the Alexandria database.

## Properties
The final energy comes out at -0.1853 Ry/atom. The uncorrected formation energy is -0.511 eV/atom. The calculation puts the mass density at 4.266 g cm⁻³. The total magnetic moment is 0.00 Bohr magnetons per cell. The calculation puts the density of states at the Fermi level at 0.000 states/eV/cell.

Lattice parameters (Å, degrees): 15.2971 14.8482 8.1961 90.00 97.91 90.00
With the nearest neighbours (Å) after each atom.
Space group C2/c (No. 15)
Inequivalent atoms, fractional coordinates:
Rb  0.0000  0.0825  0.2500 (multiplicity 4)  6 I 3.64-3.75
Ag  0.0999  0.4220  0.2744 (multiplicity 8)  3 I 2.78-2.80, 1 Ag 3.03
Sb  0.0000  0.2638  0.7500 (multiplicity 4)  6 I 2.95-3.23
I  0.1179  0.2691  0.0849 (multiplicity 8)  1 Ag 2.78, 1 Sb 3.07
I  0.1222  0.1261  0.6550 (multiplicity 8)  1 Sb 2.95
I  0.1264  0.4141  0.6185 (multiplicity 8)  2 Ag 2.80

***

[7]
First-principles (PBE-GGA) data for a geometry-optimized TaCu3Se6 structure, as listed in the Alexandria database.

## Properties
The final energy comes out at -0.3465 Ry/atom. The uncorrected formation energy is -0.209 eV/atom. The calculation puts the mass density at 6.673 g cm⁻³. The total magnetic moment is 0.00 Bohr magnetons per cell. The calculation puts the density of states at the Fermi level at 11.725 states/eV/cell.

Lattice parameters (Å, degrees): 6.2815 6.2612 12.3408 90.00 119.91 90.00
With the nearest neighbours (Å) after each atom.
Space group P2_1/c (No. 14)
Inequivalent atoms, fractional coordinates:
Ta  0.0000  0.0000  0.0000 (multiplicity 2)  6 Se 2.56-2.62
Cu  0.3153  0.0138  0.7532 (multiplicity 4)  4 Se 2.41-2.44
Cu  0.5000  0.0000  0.5000 (multiplicity 2)  4 Se 2.53-2.64
Se  0.0469  0.1159  0.4321 (multiplicity 4)  2 Cu 2.42-2.64, 1 Se 2.50, 1 Ta 2.61
Se  0.3010  0.1002  0.2272 (multiplicity 4)  2 Cu 2.41-2.43, 1 Ta 2.56
Se  0.3267  0.6259  0.4405 (multiplicity 4)  2 Cu 2.44-2.53, 1 Se 2.49, 1 Ta 2.62

***

[8]
First-principles (PBE-GGA) data for a geometry-optimized Cr2Ir2Rh structure, as listed in the Alexandria database.

## Properties
The final energy comes out at -0.6521 Ry/atom. The calculation puts the mass density at 14.224 g cm⁻³. The total magnetic moment is 0.00 Bohr magnetons per cell. The calculation puts the density of states at the Fermi level at 25.334 states/eV/cell. The formation energy is -8 meV/atom.

Lattice parameters (Å, degrees): 4.2752 5.3670 12.0346 90.00 90.00 90.00
With the nearest neighbours (Å) after each atom.
Space group Imma (No. 74)
Inequivalent atoms, fractional coordinates:
Cr  0.0000  0.0067  0.1904 (multiplicity 8)  5 Ir 2.52-2.68, 3 Rh 2.56-2.64, 4 Cr 2.57-2.76
Ir  0.0000  0.2500  0.0003 (multiplicity 4)  4 Cr 2.63-2.68, 4 Ir 2.65-2.68, 2 Rh 2.65
Ir  0.0000  0.2500  0.3693 (multiplicity 4)  6 Cr 2.52-2.61, 2 Ir 2.65, 2 Rh 2.68
Rh  0.0000  0.2500  0.6302 (multiplicity 4)  6 Cr 2.56-2.64, 4 Ir 2.65-2.68

***

Among the records above, which one has the highest mass density? Cr2Ir2Rh

***

Which value of mass density does entry 1 give? 4.027 g cm⁻³

***

The highest final energy belongs to which entry? RbAg2SbI6